1.
Material: LaCoCu2
Method: DFT, PBE
State: relaxed

## Properties
Crystal system: tetragonal
Total energy: -4.8544 eV per atom
Mass density: 7.947 Mg/m³
ΔE_f: 0.2020 eV per atom

Cell: 3.195 3.195 6.650 Å, 90.00 90.00 90.00°
Positions (direct):
La1 0.000 0.000 0.000
Co1 0.000 0.000 0.500
Cu1 0.500 0.500 0.319
Cu2 0.500 0.500 0.681



2.
Material: ScHg
Method: DFT, PBE
State: relaxed

## Properties
Crystal system: trigonal
Total energy: -3.4492 eV per atom
Mass density: 8.451 Mg/m³
ΔE_f: -0.1325 eV per atom

Cell: 3.434 3.434 9.451 Å, 90.00 90.00 120.00°
Positions (direct):
Sc1 0.333 0.667 0.368
Sc2 0.667 0.333 0.632
Hg1 0.333 0.667 0.870
Hg2 0.667 0.333 0.130



3.
Material: Na2CdC2O6
Method: DFT, PBE
State: relaxed

## Properties
Crystal system: monoclinic
Total energy: -6.2216 eV per atom
Mass density: 3.432 Mg/m³

Cell: 5.160 5.160 6.513 Å, 112.90 112.90 60.42°
Positions (direct):
Na1 0.193 0.193 0.140
Na2 0.807 0.807 0.860
Cd1 0.000 0.000 0.500
C1 0.453 0.453 0.743
C2 0.547 0.547 0.257
O1 0.245 0.676 0.212
O2 0.294 0.294 0.666
O3 0.324 0.755 0.788
O4 0.676 0.245 0.212
O5 0.706 0.706 0.334
O6 0.755 0.324 0.788



4.
Material: Pm2Cr2C2N
Method: DFT, PBE
State: relaxed

## Properties
Crystal system: monoclinic
Total energy: -8.4085 eV per atom
Mass density: 7.579 Mg/m³

Cell: 5.454 5.454 6.453 Å, 120.82 120.82 35.82°
Positions (direct):
Pm1 0.071 0.071 0.333
Pm2 0.929 0.929 0.667
Cr1 0.300 0.300 0.919
Cr2 0.700 0.700 0.081
C1 0.311 0.311 0.250
C2 0.689 0.689 0.750
N1 0.500 0.500 0.000